This record from Alexandria describes a crystal of V8Ga41 relaxed with PBEsol. The functional is SCAN.

Unit cell a=9.3321 b=9.3321 c=9.3321 alpha=94.98 beta=94.98 gamma=94.98
With the nearest neighbours (Å) after each atom.
Fractional coordinates of all 49 atoms:
1 V 0.1061 0.3870 0.7109  10 Ga 2.48-2.70
2 V 0.1867 0.1867 0.1867  10 Ga 2.49-2.74
3 V 0.2891 0.8939 0.6130  10 Ga 2.48-2.70
4 V 0.3870 0.7109 0.1061  10 Ga 2.48-2.70
5 V 0.6130 0.2891 0.8939  10 Ga 2.48-2.70
6 V 0.7109 0.1061 0.3870  10 Ga 2.48-2.70
7 V 0.8133 0.8133 0.8133  10 Ga 2.49-2.74
8 V 0.8939 0.6130 0.2891  10 Ga 2.48-2.70
9 Ga 0.0000 0.0000 0.0000  2 V 2.74, 6 Ga 2.80
10 Ga 0.0000 0.5000 0.5000  2 V 2.48, 6 Ga 2.72-2.75
11 Ga 0.0331 0.3985 0.2145  2 V 2.55-2.56, 5 Ga 2.71-2.80
12 Ga 0.0559 0.8732 0.7298  2 V 2.49-2.52, 3 Ga 2.67-2.74
13 Ga 0.0776 0.7768 0.4474  2 V 2.48-2.51, 4 Ga 2.71-2.74
14 Ga 0.1268 0.2702 0.9441  2 V 2.49-2.52, 3 Ga 2.67-2.74
15 Ga 0.1301 0.6749 0.1766  2 V 2.54-2.56, 6 Ga 2.67-2.82
16 Ga 0.1766 0.1301 0.6749  2 V 2.54-2.56, 6 Ga 2.67-2.82
17 Ga 0.2145 0.0331 0.3985  2 V 2.55-2.56, 5 Ga 2.71-2.80
18 Ga 0.2197 0.3275 0.4587  2 V 2.70-2.73, 9 Ga 2.75-2.99
19 Ga 0.2232 0.5526 0.9224  2 V 2.48-2.51, 4 Ga 2.71-2.74
20 Ga 0.2610 0.6146 0.6346  2 V 2.62-2.65, 7 Ga 2.73-2.90
21 Ga 0.2702 0.9441 0.1268  2 V 2.49-2.52, 3 Ga 2.67-2.74
22 Ga 0.3251 0.8234 0.8699  2 V 2.54-2.56, 6 Ga 2.67-2.82
23 Ga 0.3275 0.4587 0.2197  2 V 2.70-2.73, 9 Ga 2.75-2.99
24 Ga 0.3654 0.7390 0.3854  2 V 2.62-2.65, 7 Ga 2.73-2.90
25 Ga 0.3854 0.3654 0.7390  2 V 2.62-2.65, 7 Ga 2.73-2.90
26 Ga 0.3985 0.2145 0.0331  2 V 2.55-2.56, 5 Ga 2.71-2.80
27 Ga 0.4474 0.0776 0.7768  2 V 2.48-2.51, 4 Ga 2.71-2.74
28 Ga 0.4587 0.2197 0.3275  2 V 2.70-2.73, 9 Ga 2.75-2.99
29 Ga 0.5000 0.0000 0.5000  2 V 2.48, 6 Ga 2.72-2.75
30 Ga 0.5000 0.5000 0.0000  2 V 2.48, 6 Ga 2.72-2.75
31 Ga 0.5000 0.5000 0.5000  12 Ga 2.89-2.93
32 Ga 0.5413 0.7803 0.6725  2 V 2.70-2.73, 9 Ga 2.75-2.99
33 Ga 0.5526 0.9224 0.2232  2 V 2.48-2.51, 4 Ga 2.71-2.74
34 Ga 0.6015 0.7855 0.9669  2 V 2.55-2.56, 5 Ga 2.71-2.80
35 Ga 0.6146 0.6346 0.2610  2 V 2.62-2.65, 7 Ga 2.73-2.90
36 Ga 0.6346 0.2610 0.6146  2 V 2.62-2.65, 7 Ga 2.73-2.90
37 Ga 0.6725 0.5413 0.7803  2 V 2.70-2.73, 9 Ga 2.75-2.99
38 Ga 0.6749 0.1766 0.1301  2 V 2.54-2.56, 6 Ga 2.67-2.82
39 Ga 0.7298 0.0559 0.8732  2 V 2.49-2.52, 3 Ga 2.67-2.74
40 Ga 0.7390 0.3854 0.3654  2 V 2.62-2.65, 7 Ga 2.73-2.90
41 Ga 0.7768 0.4474 0.0776  2 V 2.48-2.51, 4 Ga 2.71-2.74
42 Ga 0.7803 0.6725 0.5413  2 V 2.70-2.73, 9 Ga 2.75-2.99
43 Ga 0.7855 0.9669 0.6015  2 V 2.55-2.56, 5 Ga 2.71-2.80
44 Ga 0.8234 0.8699 0.3251  2 V 2.54-2.56, 6 Ga 2.67-2.82
45 Ga 0.8699 0.3251 0.8234  2 V 2.54-2.56, 6 Ga 2.67-2.82
46 Ga 0.8732 0.7298 0.0559  2 V 2.49-2.52, 3 Ga 2.67-2.74
47 Ga 0.9224 0.2232 0.5526  2 V 2.48-2.51, 4 Ga 2.71-2.74
48 Ga 0.9441 0.1268 0.2702  2 V 2.49-2.52, 3 Ga 2.67-2.74
49 Ga 0.9669 0.6015 0.7855  2 V 2.55-2.56, 5 Ga 2.71-2.80

Calculated values
space group = R-3, No. 148

***

This record from Alexandria describes a crystal of V2Ga5 relaxed with PBEsol. The functional is SCAN.

Unit cell a=8.8402 b=8.8402 c=2.6429 alpha=90.00 beta=90.00 gamma=90.00
With the nearest neighbours (Å) after each atom.
Fractional coordinates of all 14 atoms:
1 V 0.1796 0.3204 0.0000  10 Ga 2.61-2.70, 2 V 2.64
2 V 0.3204 0.8204 0.0000  10 Ga 2.61-2.70, 2 V 2.64
3 V 0.6796 0.1796 0.0000  10 Ga 2.61-2.70, 2 V 2.64
4 V 0.8204 0.6796 0.0000  10 Ga 2.61-2.70, 2 V 2.64
5 Ga 0.0000 0.5000 0.5000  4 V 2.61, 6 Ga 2.64-2.65
6 Ga 0.0613 0.7938 0.5000  6 Ga 2.64-2.91, 4 V 2.65-2.70
7 Ga 0.2062 0.0613 0.5000  6 Ga 2.64-2.91, 4 V 2.65-2.70
8 Ga 0.2938 0.5613 0.5000  6 Ga 2.64-2.91, 4 V 2.65-2.70
9 Ga 0.4387 0.2938 0.5000  6 Ga 2.64-2.91, 4 V 2.65-2.70
10 Ga 0.5000 0.0000 0.5000  4 V 2.61, 6 Ga 2.64-2.65
11 Ga 0.5613 0.7062 0.5000  6 Ga 2.64-2.91, 4 V 2.65-2.70
12 Ga 0.7062 0.4387 0.5000  6 Ga 2.64-2.91, 4 V 2.65-2.70
13 Ga 0.7938 0.9387 0.5000  6 Ga 2.64-2.91, 4 V 2.65-2.70
14 Ga 0.9387 0.2062 0.5000  6 Ga 2.64-2.91, 4 V 2.65-2.70

Calculated values
space group = P4/mbm, No. 127

***

Table of DFT formation energy (eV/f.u.), in record order: -9.73, -2.12